The following is a DFT calculation (PBE+U) of a relaxed structure of CaHoNi2O6.

## Properties
* E: -59.75 eV/f.u.
* M_tot: 0.100 μB/atom
* D(E_F): 3.85 states/eV/f.u.

```
20
Lattice="5.271 0.000 0.000 0.000 5.482 0.000 0.000 0.000 7.456" Properties=species:S:1:pos:R:3 pbc="T T T"
Ca 2.566 1.043 0.000
Ca 5.201 4.439 3.728
Ho 0.099 3.737 0.000
Ho 2.734 1.745 3.728
Ni 0.004 1.345 5.589
Ni 0.004 1.345 1.867
Ni 2.640 4.137 1.861
Ni 2.640 4.137 5.595
O 0.536 1.250 3.728
O 1.022 5.192 5.952
O 1.022 5.192 1.504
O 1.550 2.523 5.936
O 1.550 2.523 1.520
O 2.188 3.949 3.728
O 3.171 4.232 0.000
O 3.657 0.290 2.224
O 3.657 0.290 5.231
O 4.185 2.959 5.248
O 4.185 2.959 2.208
O 4.823 1.533 0.000
```